Rb2InPtBr6 | PBE | relaxed

Calculated values
* crystal system: cubic
* final energy: -3.03 eV per atom

Cell: 7.7465 7.7465 7.7465 Å, 60.00 60.00 60.00°
Last column: nearest neighbours and their distance in Å.
Fractional positions:
Rb (0.2500, 0.2500, 0.2500)  12 Br 3.88
Rb (0.7500, 0.7500, 0.7500)  12 Br 3.88
In (0.0000, 0.0000, 0.0000)  6 Br 2.86
Pt (0.5000, 0.5000, 0.5000)  6 Br 2.61
Br (0.2613, 0.2613, 0.7387)  1 Pt 2.61, 1 In 2.86
Br (0.2613, 0.7387, 0.2613)  1 Pt 2.61, 1 In 2.86
Br (0.2613, 0.7387, 0.7387)  1 Pt 2.61, 1 In 2.86
Br (0.7387, 0.2613, 0.2613)  1 Pt 2.61, 1 In 2.86
Br (0.7387, 0.2613, 0.7387)  1 Pt 2.61, 1 In 2.86
Br (0.7387, 0.7387, 0.2613)  1 Pt 2.61, 1 In 2.86